[1]
DFT (GGA-PBE) results for crystalline Ba3SrBi at its relaxed geometry.

Computed properties:
Total magnetization ... 0.0 μB/f.u.
Energy of formation from the pure elements ... -1.49 eV per formula unit
Energy relative to the lowest polymorph listed for this composition ... 0 meV/atom

a b c (Å): 6.8757 6.8757 6.8757
angles (deg): 90.00 90.00 90.00
Last column: nearest neighbours and their distance in Å.
Element x y z (fractional)
Ba  0.0000  0.0000  0.5000  2 Bi 3.44
Ba  0.0000  0.5000  0.0000  2 Bi 3.44
Ba  0.5000  0.0000  0.0000  2 Bi 3.44
Bi  0.0000  0.0000  0.0000  6 Ba 3.44
Sr  0.5000  0.5000  0.5000  12 Ba 4.86



[2]
DFT (GGA-PBE) results for crystalline BaSr2TcBi at its relaxed geometry.

Computed properties:
Total magnetization ... 0.3 μB/f.u.
Energy of formation from the pure elements ... 1.16 eV per formula unit

a b c (Å): 5.6851 5.5928 5.6851
angles (deg): 90.00 90.00 90.00
Last column: nearest neighbours and their distance in Å.
Element x y z (fractional)
Sr  0.0000  0.0000  0.5000  2 Tc 2.84
Sr  0.5000  0.0000  0.0000  2 Tc 2.84
Ba  0.0000  0.5000  0.0000  2 Tc 2.80
Bi  0.5000  0.5000  0.5000  8 Sr 3.99, 4 Ba 4.02
Tc  0.0000  0.0000  0.0000  2 Ba 2.80, 4 Sr 2.84



[3]
DFT (GGA-PBE) results for crystalline BaSrTlBi at its relaxed geometry.

Computed properties:
Total magnetization ... 0.0 μB/f.u.
Energy of formation from the pure elements ... -2.32 eV per formula unit

a b c (Å): 5.9854 5.9854 5.9854
angles (deg): 60.00 60.00 60.00
Last column: nearest neighbours and their distance in Å.
Element x y z (fractional)
Bi  0.5000  0.5000  0.5000  4 Sr 3.67, 4 Ba 3.67
Tl  0.0000  0.0000  0.0000  4 Ba 3.67, 4 Sr 3.67
Ba  0.2500  0.2500  0.2500  4 Bi 3.67, 4 Tl 3.67
Sr  0.7500  0.7500  0.7500  4 Tl 3.67, 4 Bi 3.67



[4]
DFT (GGA-PBE) results for crystalline Ba2SrVBi at its relaxed geometry.

Computed properties:
Total magnetization ... 3.7 μB/f.u.
Energy of formation from the pure elements ... 1.18 eV per formula unit

a b c (Å): 6.4760 5.4294 6.4760
angles (deg): 90.00 90.00 90.00
Last column: nearest neighbours and their distance in Å.
Element x y z (fractional)
Bi  0.0000  0.5000  0.0000  2 V 2.71
Sr  0.5000  0.5000  0.5000  8 Ba 4.23, 4 Bi 4.58
V  0.0000  0.0000  0.0000  2 Bi 2.71
Ba  0.0000  0.0000  0.5000  2 V 3.24
Ba  0.5000  0.0000  0.0000  2 V 3.24



[5]
DFT (GGA-PBE) results for crystalline BaSrZn2Bi at its relaxed geometry.

Computed properties:
Total magnetization ... 0.0 μB/f.u.
Energy of formation from the pure elements ... 0.82 eV per formula unit

a b c (Å): 5.6963 6.2319 5.6963
angles (deg): 90.00 90.00 90.00
Last column: nearest neighbours and their distance in Å.
Element x y z (fractional)
Ba  0.5000  0.5000  0.5000  4 Sr 4.03, 8 Zn 4.22
Sr  0.0000  0.5000  0.0000  2 Bi 3.12
Zn  0.5000  0.0000  0.0000  2 Bi 2.85
Zn  0.0000  0.0000  0.5000  2 Bi 2.85
Bi  0.0000  0.0000  0.0000  4 Zn 2.85, 2 Sr 3.12



[6]
DFT (GGA-PBE) results for crystalline BaTaBi3 at its relaxed geometry.

Computed properties:
Total magnetization ... 0.0 μB/f.u.
Energy of formation from the pure elements ... -0.10 eV per formula unit
Energy relative to the lowest polymorph listed for this composition ... 0 meV/atom

a b c (Å): 5.6193 5.6193 5.6193
angles (deg): 90.00 90.00 90.00
Last column: nearest neighbours and their distance in Å.
Element x y z (fractional)
Ta  0.0000  0.0000  0.0000  6 Bi 2.81
Ba  0.5000  0.5000  0.5000  12 Bi 3.97
Bi  0.0000  0.5000  0.0000  2 Ta 2.81
Bi  0.0000  0.0000  0.5000  2 Ta 2.81
Bi  0.5000  0.0000  0.0000  2 Ta 2.81



The highest total magnetization belongs to which entry? Ba2SrVBi